Record 1
The following is a PBE-GGA calculation of crystalline Cs2TlMoPd at its relaxed geometry, from Alexandria.

The structure in CIF format:
```
data_Cs2TlMoPd
_chemical_formula_sum 'Cs2 Tl1 Mo1 Pd1'
_symmetry_space_group_name_H-M 'P 1'
_symmetry_Int_Tables_number 1
_cell_length_a 6.6691
_cell_length_b 5.3712
_cell_length_c 6.6691
_cell_angle_alpha 90.00
_cell_angle_beta 90.00
_cell_angle_gamma 90.00
loop_
_symmetry_equiv_pos_as_xyz
'x,y,z'
loop_
_atom_site_label
_atom_site_fract_x
_atom_site_fract_y
_atom_site_fract_z
_atom_site_occupancy
Pd1 0.0000 0.0000 0.0000 1
Cs1 0.0000 0.0000 0.5000 1
Cs2 0.5000 0.0000 0.0000 1
Mo1 0.5000 0.5000 0.5000 1
Tl1 0.0000 0.5000 0.0000 1
```

Values from the calculation:
The total energy is -15.22 eV/cell. The theoretical density is 4.7 Mg/m³. For the spin magnetization, the calculation gives 5.0 μB per cell. As for the formation energy: 0.975 eV per atom. The space group is No. 123.



Record 2
The following is a PBE-GGA calculation of crystalline Cs2MoPt at its relaxed geometry, from Alexandria.

The structure in CIF format:
```
data_Cs2MoPt
_chemical_formula_sum 'Cs2 Mo1 Pt1'
_symmetry_space_group_name_H-M 'P 1'
_symmetry_Int_Tables_number 1
_cell_length_a 5.7816
_cell_length_b 5.7816
_cell_length_c 5.7816
_cell_angle_alpha 60.00
_cell_angle_beta 60.00
_cell_angle_gamma 60.00
loop_
_symmetry_equiv_pos_as_xyz
'x,y,z'
loop_
_atom_site_label
_atom_site_fract_x
_atom_site_fract_y
_atom_site_fract_z
_atom_site_occupancy
Mo1 0.0000 0.0000 0.0000 1
Cs1 0.2500 0.2500 0.2500 1
Cs2 0.7500 0.7500 0.7500 1
Pt1 0.5000 0.5000 0.5000 1
```

Values from the calculation:
The total energy is -12.93 eV/cell. The theoretical density is 6.8 Mg/m³. For the spin magnetization, the calculation gives 6.0 μB per cell. As for the formation energy: 1.413 eV per atom. The space group is No. 225.



Record 3
The following is a PBE-GGA calculation of crystalline CsMo2Pt at its relaxed geometry, from Alexandria.

The structure in CIF format:
```
data_CsMo2Pt
_chemical_formula_sum 'Cs2 Mo4 Pt2'
_symmetry_space_group_name_H-M 'P 1'
_symmetry_Int_Tables_number 1
_cell_length_a 4.9039
_cell_length_b 4.9039
_cell_length_c 10.0154
_cell_angle_alpha 75.83
_cell_angle_beta 75.83
_cell_angle_gamma 90.00
loop_
_symmetry_equiv_pos_as_xyz
'x,y,z'
loop_
_atom_site_label
_atom_site_fract_x
_atom_site_fract_y
_atom_site_fract_z
_atom_site_occupancy
Mo1 0.9000 0.1250 0.2500 1
Mo2 0.8500 0.6250 0.2500 1
Mo3 0.8750 0.1500 0.7500 1
Mo4 0.3750 0.1000 0.7500 1
Pt1 0.0000 0.0000 0.0000 1
Pt2 0.7500 0.2500 0.5000 1
Cs1 0.2500 0.7500 0.5000 1
Cs2 0.5000 0.5000 0.0000 1
```

Values from the calculation:
The total energy is -45.78 eV/cell. The theoretical density is 7.6 Mg/m³. For the spin magnetization, the calculation gives 0.0 μB per cell. As for the formation energy: 1.417 eV per atom. The space group is No. 122.



Record 4
The following is a PBE-GGA calculation of crystalline CsMo3Pt at its relaxed geometry, from Alexandria.

The structure in CIF format:
```
data_CsMo3Pt
_chemical_formula_sum 'Cs1 Mo3 Pt1'
_symmetry_space_group_name_H-M 'P 1'
_symmetry_Int_Tables_number 1
_cell_length_a 5.0269
_cell_length_b 5.0269
_cell_length_c 5.0269
_cell_angle_alpha 90.00
_cell_angle_beta 90.00
_cell_angle_gamma 90.00
loop_
_symmetry_equiv_pos_as_xyz
'x,y,z'
loop_
_atom_site_label
_atom_site_fract_x
_atom_site_fract_y
_atom_site_fract_z
_atom_site_occupancy
Cs1 0.5000 0.5000 0.5000 1
Mo1 0.5000 0.0000 0.0000 1
Mo2 0.0000 0.5000 0.0000 1
Mo3 0.0000 0.0000 0.5000 1
Pt1 0.0000 0.0000 0.0000 1
```

Values from the calculation:
The total energy is -29.79 eV/cell. The theoretical density is 8.1 Mg/m³. For the spin magnetization, the calculation gives 4.5 μB per cell. As for the formation energy: 1.919 eV per atom. The space group is No. 221.



Record 5
The following is a PBE-GGA calculation of crystalline CsMoPt3 at its relaxed geometry, from Alexandria.

The structure in CIF format:
```
data_CsMoPt3
_chemical_formula_sum 'Cs1 Mo1 Pt3'
_symmetry_space_group_name_H-M 'P 1'
_symmetry_Int_Tables_number 1
_cell_length_a 5.0120
_cell_length_b 5.0120
_cell_length_c 5.0120
_cell_angle_alpha 90.00
_cell_angle_beta 90.00
_cell_angle_gamma 90.00
loop_
_symmetry_equiv_pos_as_xyz
'x,y,z'
loop_
_atom_site_label
_atom_site_fract_x
_atom_site_fract_y
_atom_site_fract_z
_atom_site_occupancy
Pt1 0.0000 0.0000 0.5000 1
Pt2 0.0000 0.5000 0.0000 1
Pt3 0.5000 0.0000 0.0000 1
Mo1 0.0000 0.0000 0.0000 1
Cs1 0.5000 0.5000 0.5000 1
```

Values from the calculation:
The total energy is -26.37 eV/cell. The theoretical density is 10.7 Mg/m³. For the spin magnetization, the calculation gives 0.0 μB per cell. As for the formation energy: 0.687 eV per atom. The space group is No. 221.



Record 6
The following is a PBE-GGA calculation of crystalline CsMo3Pt at its relaxed geometry, from Alexandria.

The structure in CIF format:
```
data_CsMo3Pt
_chemical_formula_sum 'Cs1 Mo3 Pt1'
_symmetry_space_group_name_H-M 'P 1'
_symmetry_Int_Tables_number 1
_cell_length_a 4.8241
_cell_length_b 4.8241
_cell_length_c 4.8241
_cell_angle_alpha 90.00
_cell_angle_beta 90.00
_cell_angle_gamma 90.00
loop_
_symmetry_equiv_pos_as_xyz
'x,y,z'
loop_
_atom_site_label
_atom_site_fract_x
_atom_site_fract_y
_atom_site_fract_z
_atom_site_occupancy
Mo1 0.5000 0.0000 0.0000 1
Mo2 0.0000 0.5000 0.0000 1
Mo3 0.0000 0.0000 0.5000 1
Cs1 0.0000 0.0000 0.0000 1
Pt1 0.5000 0.5000 0.5000 1
```

Values from the calculation:
The total energy is -23.46 eV/cell. The theoretical density is 9.1 Mg/m³. For the spin magnetization, the calculation gives 0.0 μB per cell. As for the formation energy: 3.185 eV per atom. The space group is No. 221.